Compound: Hf4MnIr3
Source: the Alexandria database
Functional: PBE-GGA
Structure: relaxed

The spin magnetization comes out at 0.0 Bohr magnetons per cell. For the formation enthalpy at 0 K, the calculation gives -6.17 eV/f.u. The calculation puts the theoretical density at 16.25 g cm⁻³. Its space group is I4/mmm, No. 139.

abc: 7.438 7.438 7.438
angles: 144.57 144.57 50.97
Sites, in units of the cell vectors:
Hf 0.122 0.622 0.500
Hf 0.378 0.878 0.500
Hf 0.622 0.122 0.500
Hf 0.878 0.378 0.500
Mn 0.000 0.000 0.000
Ir 0.241 0.241 0.000
Ir 0.500 0.500 0.000
Ir 0.759 0.759 0.000